No. 1
A relaxed La2NdTm3Te6 crystal, computed with PBE.

```
La2NdTm3Te6
1.0
4.3523 0.0000 0.0000
0.0000 9.0180 0.1148
-2.1761 -2.8146 9.3445
Te Tm Nd La
6 3 1 2
Direct
0.6622 0.5933 0.3243
0.6700 0.0679 0.3401
0.3378 0.4067 0.6757
0.3300 0.9321 0.6599
0.0057 0.7410 0.0113
0.9943 0.2590 0.9887
0.8328 0.1684 0.6655
0.5000 0.5000 0.0000
0.1672 0.8316 0.3345
0.5000 0.0000 0.0000
0.1653 0.3295 0.3307
0.8347 0.6705 0.6693
```

Properties
- Crystal system: monoclinic
- Electronic total energy: -5.272 eV per atom
- Formation energy from raw total energies: -1.3648 eV per atom



No. 2
A relaxed Li7CaAg2 crystal, computed with PBE.

```
Li7CaAg2
1.0
3.9470 0.0000 0.0000
0.0000 7.6413 0.9155
0.0000 -2.5493 7.2615
Li Ca Ag
7 1 2
Direct
0.0000 0.3438 0.6562
0.5000 0.6063 0.8721
0.5000 0.5000 0.5000
0.5000 0.1279 0.3937
0.5000 0.3937 0.1279
0.5000 0.8721 0.6063
0.0000 0.6562 0.3438
0.0000 0.0000 0.0000
0.5000 0.2088 0.7912
0.5000 0.7912 0.2088
```

Properties
- Crystal system: orthorhombic
- Electronic total energy: -2.094 eV per atom
- Calculated formation energy: 0.016 eV/atom



No. 3
A relaxed Dy4SbRu crystal, computed with PBE.

```
Dy4SbRu
1.0
-4.1807 -0.9034 -5.3896
5.3850 -2.4096 -3.7732
-1.3479 -6.9009 2.4832
Dy Ru Sb
8 2 2
Direct
0.8579 0.6536 0.1983
0.8260 0.1631 0.3591
0.6740 0.6631 0.6409
0.1421 0.3464 0.8017
0.3260 0.3369 0.3591
0.3579 0.8464 0.1983
0.1740 0.8369 0.6409
0.6421 0.1536 0.8017
0.0000 0.5000 0.5000
0.5000 0.0000 0.5000
0.0000 0.0000 0.0000
0.5000 0.5000 0.0000
```

Properties
- Crystal system: monoclinic
- Electronic total energy: -5.719 eV per atom
- Formation energy from raw total energies: -0.4178 eV per atom



No. 4
A relaxed Pm4Al3Sn5 crystal, computed with PBE.

```
Pm4Al3Sn5
1.0
4.9724 0.0000 0.0000
2.4862 5.4515 -2.4672
2.4862 -1.3629 12.8075
Al Pm Sn
3 4 5
Direct
0.7086 0.0288 0.5539
0.0000 0.5000 0.5000
0.2914 0.9712 0.4461
0.7594 0.3796 0.1015
0.1323 0.0094 0.7260
0.2406 0.6204 0.8985
0.8677 0.9906 0.2740
0.1217 0.4730 0.2836
0.4995 0.0914 0.9097
0.5000 0.5000 0.5000
0.5005 0.9086 0.0903
0.8783 0.5270 0.7164
```

Properties
- Crystal system: monoclinic
- Electronic total energy: -4.493 eV per atom
- Calculated formation energy: -0.306 eV/atom



- Which formula does entry 4 have?
  Pm4Al3Sn5



- Number 4 is which compound?
  Pm4Al3Sn5



- electronic total energy of number 1 (La2NdTm3Te6)?
  -5.272 eV per atom